{"formula": "SbSe2SN2F6", "functional": "GGA-PBEsol", "state": "optimized geometry", "crystal_system": "monoclinic", "raw_formation_energy_ev_per_atom": -1.237, "lattice": [[9.826, 0.000, 0.000], [0.000, 16.394, 0.000], [-8.244, 0.000, 10.473]], "species": ["Sb", "Sb", "Sb", "Sb", "Sb", "Sb", "Sb", "Sb", "Se", "Se", "Se", "Se", "Se", "Se", "Se", "Se", "Se", "Se", "Se", "Se", "Se", "Se", "Se", "Se", "S", "S", "S", "S", "S", "S", "S", "S", "N", "N", "N", "N", "N", "N", "N", "N", "N", "N", "N", "N", "N", "N", "N", "N", "F", "F", "F", "F", "F", "F", "F", "F", "F", "F", "F", "F", "F", "F", "F", "F", "F", "F", "F", "F", "F", "F", "F", "F", "F", "F", "F", "F", "F", "F", "F", "F", "F", "F", "F", "F", "F", "F", "F", "F", "F", "F", "F", "F", "F", "F", "F", "F"], "frac_coords": [[0.074, 0.063, 0.303], [0.074, 0.437, 0.803], [0.399, 0.148, 0.140], [0.399, 0.352, 0.640], [0.601, 0.648, 0.360], [0.601, 0.852, 0.860], [0.926, 0.563, 0.197], [0.926, 0.937, 0.697], [0.158, 0.690, 0.037], [0.158, 0.810, 0.537], [0.218, 0.629, 0.607], [0.218, 0.871, 0.107], [0.326, 0.702, 0.960], [0.326, 0.798, 0.460], [0.382, 0.617, 0.529], [0.382, 0.883, 0.029], [0.618, 0.117, 0.971], [0.618, 0.383, 0.471], [0.674, 0.202, 0.540], [0.674, 0.298, 0.040], [0.782, 0.129, 0.893], [0.782, 0.371, 0.393], [0.842, 0.190, 0.463], [0.842, 0.310, 0.963], [0.046, 0.187, 0.740], [0.046, 0.313, 0.240], [0.410, 0.112, 0.695], [0.410, 0.388, 0.195], [0.590, 0.612, 0.805], [0.590, 0.888, 0.305], [0.954, 0.687, 0.760], [0.954, 0.813, 0.260], [0.041, 0.181, 0.620], [0.041, 0.319, 0.120], [0.138, 0.695, 0.797], [0.138, 0.805, 0.297], [0.406, 0.621, 0.770], [0.406, 0.879, 0.270], [0.418, 0.108, 0.815], [0.418, 0.392, 0.315], [0.582, 0.608, 0.685], [0.582, 0.892, 0.185], [0.594, 0.121, 0.730], [0.594, 0.379, 0.230], [0.862, 0.195, 0.703], [0.862, 0.305, 0.203], [0.959, 0.681, 0.880], [0.959, 0.819, 0.380], [0.046, 0.138, 0.399], [0.046, 0.362, 0.899], [0.058, 0.638, 0.342], [0.058, 0.862, 0.842], [0.092, 0.509, 0.699], [0.092, 0.991, 0.199], [0.138, 0.513, 0.258], [0.138, 0.987, 0.758], [0.168, 0.140, 0.081], [0.168, 0.360, 0.581], [0.199, 0.511, 0.943], [0.199, 0.989, 0.443], [0.280, 0.119, 0.360], [0.280, 0.381, 0.860], [0.336, 0.242, 0.035], [0.336, 0.258, 0.535], [0.353, 0.080, 0.006], [0.353, 0.420, 0.506], [0.368, 0.663, 0.302], [0.368, 0.837, 0.802], [0.467, 0.217, 0.282], [0.467, 0.283, 0.782], [0.471, 0.056, 0.249], [0.471, 0.444, 0.749], [0.529, 0.556, 0.251], [0.529, 0.944, 0.751], [0.533, 0.717, 0.218], [0.533, 0.783, 0.718], [0.632, 0.163, 0.198], [0.632, 0.337, 0.698], [0.647, 0.580, 0.494], [0.647, 0.920, 0.994], [0.664, 0.742, 0.465], [0.664, 0.758, 0.965], [0.720, 0.619, 0.140], [0.720, 0.881, 0.640], [0.801, 0.011, 0.557], [0.801, 0.489, 0.057], [0.832, 0.640, 0.419], [0.832, 0.860, 0.919], [0.862, 0.013, 0.242], [0.862, 0.487, 0.742], [0.908, 0.009, 0.801], [0.908, 0.491, 0.301], [0.942, 0.138, 0.158], [0.942, 0.362, 0.658], [0.954, 0.638, 0.101], [0.954, 0.862, 0.601]]}

=====

{"formula": "TaZn5", "functional": "GGA-PBEsol", "state": "optimized geometry", "crystal_system": "orthorhombic", "dft_energy_ev_per_atom": -3.4211, "dos_ef_per_ev_atom": 0.360, "lattice": [[1.928, -5.647, 0.000], [1.928, 5.647, 0.000], [0.000, 0.000, 3.952]], "species": ["Ta", "Zn", "Zn", "Zn", "Zn", "Zn"], "frac_coords": [[0.000, 0.000, 0.000], [0.164, 0.836, 0.500], [0.324, 0.676, 0.000], [0.500, 0.500, 0.500], [0.676, 0.324, 0.000], [0.836, 0.164, 0.500]]}

=====

{"formula": "AlSiSe4", "functional": "GGA-PBEsol", "state": "optimized geometry", "crystal_system": "cubic", "raw_formation_energy_ev_per_atom": 0.648, "dos_ef_per_ev_atom": 0.460, "lattice": [[0.000, 3.972, 3.972], [3.972, 0.000, 3.972], [3.972, 3.972, 0.000]], "species": ["Al", "Si", "Se", "Se", "Se", "Se"], "frac_coords": [[0.000, 0.000, 0.000], [0.250, 0.250, 0.250], [0.125, 0.625, 0.625], [0.625, 0.125, 0.625], [0.625, 0.625, 0.125], [0.625, 0.625, 0.625]]}

=====

{"formula": "RbHf3Cu", "functional": "GGA-PBEsol", "state": "optimized geometry", "crystal_system": "cubic", "dft_energy_ev_per_atom": -4.8874, "dos_ef_per_ev_atom": 1.203, "lattice": [[4.893, 0.000, 0.000], [0.000, 4.893, 0.000], [0.000, 0.000, 4.893]], "species": ["Rb", "Hf", "Hf", "Hf", "Cu"], "frac_coords": [[0.000, 0.000, 0.000], [0.000, 0.000, 0.500], [0.000, 0.500, 0.000], [0.500, 0.000, 0.000], [0.500, 0.500, 0.500]]}

=====

{"formula": "CsYSe2O6", "functional": "GGA-PBEsol", "state": "optimized geometry", "crystal_system": "cubic", "raw_formation_energy_ev_per_atom": -1.810, "dos_ef_per_ev_atom": 0.000, "lattice": [[8.791, 0.000, 0.000], [0.000, 8.791, 0.000], [0.000, 0.000, 8.791]], "species": ["Cs", "Cs", "Cs", "Cs", "Y", "Y", "Y", "Y", "Se", "Se", "Se", "Se", "Se", "Se", "Se", "Se", "O", "O", "O", "O", "O", "O", "O", "O", "O", "O", "O", "O", "O", "O", "O", "O", "O", "O", "O", "O", "O", "O", "O", "O"], "frac_coords": [[0.000, 0.000, 0.000], [0.000, 0.500, 0.500], [0.500, 0.000, 0.500], [0.500, 0.500, 0.000], [0.000, 0.000, 0.500], [0.000, 0.500, 0.000], [0.500, 0.000, 0.000], [0.500, 0.500, 0.500], [0.240, 0.240, 0.240], [0.240, 0.260, 0.740], [0.260, 0.740, 0.240], [0.260, 0.760, 0.740], [0.740, 0.240, 0.260], [0.740, 0.260, 0.760], [0.760, 0.740, 0.260], [0.760, 0.760, 0.760], [0.079, 0.178, 0.665], [0.079, 0.322, 0.165], [0.165, 0.079, 0.322], [0.165, 0.421, 0.822], [0.178, 0.665, 0.079], [0.178, 0.835, 0.579], [0.322, 0.165, 0.079], [0.322, 0.335, 0.579], [0.335, 0.579, 0.322], [0.335, 0.921, 0.822], [0.421, 0.678, 0.665], [0.421, 0.822, 0.165], [0.579, 0.178, 0.835], [0.579, 0.322, 0.335], [0.665, 0.079, 0.178], [0.665, 0.421, 0.678], [0.678, 0.665, 0.421], [0.678, 0.835, 0.921], [0.822, 0.165, 0.421], [0.822, 0.335, 0.921], [0.835, 0.579, 0.178], [0.835, 0.921, 0.678], [0.921, 0.678, 0.835], [0.921, 0.822, 0.335]]}

=====

{"formula": "LiHgPb2", "functional": "GGA-PBEsol", "state": "optimized geometry", "crystal_system": "tetragonal", "dft_energy_ev_per_atom": -2.7845, "dos_ef_per_ev_atom": 0.318, "lattice": [[-2.264, 2.264, 4.812], [2.264, -2.264, 4.812], [2.264, 2.264, -4.812]], "species": ["Li", "Hg", "Pb", "Pb"], "frac_coords": [[0.000, 0.000, 0.000], [0.250, 0.750, 0.500], [0.500, 0.500, 0.000], [0.750, 0.250, 0.500]]}

=====

{"formula": "HgPtAu2", "functional": "GGA-PBEsol", "state": "optimized geometry", "crystal_system": "orthorhombic", "dft_energy_ev_per_atom": -3.8074, "dos_ef_per_ev_atom": 0.282, "lattice": [[-1.455, 2.410, 4.930], [1.455, -2.410, 4.930], [1.455, 2.410, -4.930]], "species": ["Hg", "Pt", "Au", "Au"], "frac_coords": [[0.000, 0.000, 0.000], [0.500, 0.500, 0.000], [0.258, 0.758, 0.500], [0.742, 0.242, 0.500]]}

=====

{"formula": "BiO2", "functional": "GGA-PBEsol", "state": "optimized geometry", "crystal_system": "tetragonal", "raw_formation_energy_ev_per_atom": -0.905, "dos_ef_per_ev_atom": 0.436, "lattice": [[-5.807, 5.807, 1.769], [5.807, -5.807, 1.769], [5.807, 5.807, -1.769]], "species": ["Bi", "Bi", "Bi", "Bi", "O", "O", "O", "O", "O", "O", "O", "O"], "frac_coords": [[0.156, 0.343, 0.499], [0.343, 0.844, 0.187], [0.657, 0.156, 0.813], [0.844, 0.657, 0.501], [0.162, 0.775, 0.937], [0.166, 0.533, 0.699], [0.225, 0.162, 0.387], [0.467, 0.166, 0.633], [0.533, 0.834, 0.367], [0.775, 0.838, 0.613], [0.834, 0.467, 0.301], [0.838, 0.225, 0.063]]}

=====

{"formula": "MnRu2Br", "functional": "GGA-PBEsol", "state": "optimized geometry", "crystal_system": "orthorhombic", "raw_formation_energy_ev_per_atom": 0.746, "dos_ef_per_ev_atom": 1.070, "lattice": [[-1.457, 2.168, 4.438], [1.457, -2.168, 4.438], [1.457, 2.168, -4.438]], "species": ["Mn", "Ru", "Ru", "Br"], "frac_coords": [[0.000, 0.000, 0.000], [0.265, 0.765, 0.500], [0.530, 0.530, 0.000], [0.762, 0.262, 0.500]]}

=====

{"formula": "KTeO5", "functional": "GGA-PBEsol", "state": "optimized geometry", "crystal_system": "monoclinic", "raw_formation_energy_ev_per_atom": -0.743, "dos_ef_per_ev_atom": 0.472, "lattice": [[4.983, 0.000, 0.000], [0.000, 3.926, 0.000], [-1.756, 0.000, 6.096]], "species": ["K", "Te", "O", "O", "O", "O", "O"], "frac_coords": [[0.000, 0.000, 0.000], [0.500, 0.500, 0.500], [0.112, 0.500, 0.589], [0.330, 0.500, 0.206], [0.500, 0.000, 0.500], [0.670, 0.500, 0.794], [0.888, 0.500, 0.411]]}

=====

{"formula": "Hf5P7Pd9", "functional": "GGA-PBEsol", "state": "optimized geometry", "crystal_system": "orthorhombic", "dft_energy_ev_per_atom": -7.9458, "dos_ef_per_ev_atom": 0.276, "lattice": [[3.757, 0.000, 0.000], [0.000, 13.091, 3.217], [0.000, -13.091, 3.217]], "species": ["Hf", "Hf", "Hf", "Hf", "Hf", "P", "P", "P", "P", "P", "P", "P", "Pd", "Pd", "Pd", "Pd", "Pd", "Pd", "Pd", "Pd", "Pd"], "frac_coords": [[0.000, 0.000, 0.000], [0.000, 0.533, 0.709], [0.000, 0.709, 0.533], [0.500, 0.448, 0.990], [0.500, 0.990, 0.448], [0.000, 0.147, 0.718], [0.000, 0.400, 0.400], [0.000, 0.718, 0.147], [0.500, 0.276, 0.563], [0.500, 0.563, 0.276], [0.500, 0.838, 0.974], [0.500, 0.974, 0.838], [0.000, 0.034, 0.311], [0.000, 0.311, 0.034], [0.000, 0.352, 0.745], [0.000, 0.745, 0.352], [0.500, 0.213, 0.329], [0.500, 0.329, 0.213], [0.500, 0.648, 0.648], [0.500, 0.676, 0.992], [0.500, 0.992, 0.676]]}

=====

{"formula": "K4Cu4Cl10O", "functional": "GGA-PBEsol", "state": "optimized geometry", "crystal_system": "monoclinic", "raw_formation_energy_ev_per_atom": -1.121, "dos_ef_per_ev_atom": 0.364, "lattice": [[7.245, -7.387, 0.000], [7.245, 7.387, 0.000], [-2.009, 0.000, 8.483]], "species": ["K", "K", "K", "K", "K", "K", "K", "K", "Cu", "Cu", "Cu", "Cu", "Cu", "Cu", "Cu", "Cu", "Cl", "Cl", "Cl", "Cl", "Cl", "Cl", "Cl", "Cl", "Cl", "Cl", "Cl", "Cl", "Cl", "Cl", "Cl", "Cl", "Cl", "Cl", "Cl", "Cl", "O", "O"], "frac_coords": [[0.049, 0.205, 0.122], [0.205, 0.049, 0.622], [0.217, 0.471, 0.618], [0.471, 0.217, 0.118], [0.529, 0.783, 0.882], [0.783, 0.529, 0.382], [0.795, 0.951, 0.378], [0.951, 0.795, 0.878], [0.142, 0.731, 0.370], [0.262, 0.548, 0.112], [0.269, 0.858, 0.130], [0.452, 0.738, 0.388], [0.548, 0.262, 0.612], [0.731, 0.142, 0.870], [0.738, 0.452, 0.888], [0.858, 0.269, 0.630], [0.009, 0.241, 0.474], [0.085, 0.915, 0.250], [0.096, 0.510, 0.265], [0.230, 0.675, 0.917], [0.236, 0.356, 0.954], [0.241, 0.009, 0.974], [0.325, 0.770, 0.583], [0.356, 0.236, 0.454], [0.476, 0.524, 0.250], [0.490, 0.904, 0.235], [0.510, 0.096, 0.765], [0.524, 0.476, 0.750], [0.644, 0.764, 0.546], [0.675, 0.230, 0.417], [0.759, 0.991, 0.026], [0.764, 0.644, 0.046], [0.770, 0.325, 0.083], [0.904, 0.490, 0.735], [0.915, 0.085, 0.750], [0.991, 0.759, 0.526], [0.286, 0.714, 0.250], [0.714, 0.286, 0.750]]}